Entry 1:
An optimized crystal structure of Mg2CdTcC, computed with GGA-PBE.

Results
* ΔH_f (0 K): 1031 kJ/mol of formula units
* SG: No. 123
* calculated total energy: -2.602 eV/atom
* V: 27.14 Å³ per atom

Structure (POSCAR):
```
Mg2CdTcC
1.0
5.117 0.000 0.000
0.000 5.183 0.000
0.000 0.000 5.117
C Mg Tc Cd
1 2 1 1
Cartesian
2.558 2.592 2.558 C
0.000 0.000 2.558 Mg
2.558 0.000 0.000 Mg
0.000 0.000 0.000 Tc
0.000 2.592 0.000 Cd
```


Entry 2:
An optimized crystal structure of MgTi2CdC, computed with GGA-PBE.

Results
* ΔH_f (0 K): -102 kJ/mol of formula units
* SG: No. 123
* calculated total energy: -5.716 eV/atom
* V: 15.87 Å³ per atom

Structure (POSCAR):
```
MgTi2CdC
1.0
4.236 0.000 0.000
0.000 4.236 0.000
0.000 0.000 4.424
Mg Ti C Cd
1 2 1 1
Cartesian
0.000 0.000 2.212 Mg
0.000 2.118 0.000 Ti
2.118 0.000 0.000 Ti
0.000 0.000 0.000 C
2.118 2.118 2.212 Cd
```


Entry 3:
An optimized crystal structure of MgZr2CdC, computed with GGA-PBE.

Results
* ΔH_f (0 K): -110 kJ/mol of formula units
* SG: No. 123
* calculated total energy: -5.995 eV/atom
* V: 18.58 Å³ per atom

Structure (POSCAR):
```
MgZr2CdC
1.0
-3.388 -2.982 -0.831
2.915 -3.488 0.629
-1.000 -0.061 4.297
Mg C Zr Cd
1 1 2 1
Cartesian
-0.500 -0.031 2.148 Mg
0.000 0.000 0.000 C
1.458 -1.744 0.314 Zr
-1.694 -1.491 -0.416 Zr
-0.736 -3.265 2.047 Cd
```


Entry 4:
An optimized crystal structure of Mn2CdC2, computed with GGA-PBE.

Results
* energy above the lowest structure with this stoichiometry: 0.0000 eV per atom
* ΔH_f (0 K): 188 kJ/mol of formula units
* SG: No. 139
* calculated total energy: -7.150 eV/atom
* V: 12.28 Å³ per atom

Structure (POSCAR):
```
Mn2CdC2
1.0
3.637 0.000 0.000
0.000 3.637 0.000
1.819 1.819 4.640
C Mn Cd
2 2 1
Cartesian
1.819 1.819 1.729 C
3.637 3.637 2.912 C
3.637 1.819 2.320 Mn
1.819 3.637 2.320 Mn
0.000 0.000 0.000 Cd
```